This record from the Alexandria database describes a relaxed ZrTa2Ru crystal. The functional is PBEsol.

As for the density of states at the Fermi level: 11.592 states/eV per cell. The formation energy is 0.07 eV per atom. For the total magnetization, the calculation gives 0.00 Bohr magnetons per cell.

The structure belongs to space group R3m (No. 160, hexagonal axes); the cell edges are 3.0255, 3.0255 and 26.8477 Å and the angles 90.00°, 90.00° and 120.00°. The distinct sites, in fractional coordinates, are Zr at (0.0000, 0.0000, 0.0000), Ta at (0.0000, 0.0000, 0.2416), Ta at (0.0000, 0.0000, 0.4891) and Ru at (0.0000, 0.0000, 0.7488).

---

This record from the Alexandria database describes a relaxed NbSnCBr2 crystal. The functional is PBEsol.

As for the density of states at the Fermi level: 3.677 states/eV per cell. As for the formation energy from raw total energies: 536 meV/atom. For the total magnetization, the calculation gives 0.00 Bohr magnetons per cell.

The structure belongs to space group P4/mmm (No. 123); the cell edges are 5.3017, 5.3017 and 3.9845 Å and the angles 90.00°, 90.00° and 90.00°. The distinct sites, in fractional coordinates, are Nb at (0.0000, 0.0000, 0.0000), Sn at (0.5000, 0.5000, 0.5000), C at (0.0000, 0.0000, 0.5000) and Br at (0.0000, 0.5000, 0.0000).